# LiTbErAu GGA-PBE optimized geometry
# - calculated density (g/cm3) = 9.4
# - final energy (Ha/atom) = -0.1472
# - E_form (eV per atom) = -0.41
data_LiTbErAu
_chemical_formula_sum 'Li4 Tb4 Er4 Au4'
_cell_length_a 7.196
_cell_length_b 7.196
_cell_length_c 7.196
_cell_angle_alpha 90.00
_cell_angle_beta 90.00
_cell_angle_gamma 90.00
_symmetry_space_group_name_H-M 'F -4 3 m'
_symmetry_Int_Tables_number 216
_symmetry_space_group_name_Hall 'F -4 2 3'
loop_
_atom_site_label
_atom_site_fract_x
_atom_site_fract_y
_atom_site_fract_z
Li1 0.000 0.000 0.000
Tb1 0.250 0.250 0.750
Er1 0.250 0.250 0.250
Au1 0.000 0.000 0.500



# Li2Al3Ga2 GGA-PBE optimized geometry
# - calculated density (g/cm3) = 3.3
# - final energy (Ha/atom) = -0.1160
# - E_form (eV per atom) = -0.14
data_Li2Al3Ga2
_chemical_formula_sum 'Li4 Al6 Ga4'
_cell_length_a 4.224
_cell_length_b 19.017
_cell_length_c 2.895
_cell_angle_alpha 90.00
_cell_angle_beta 90.00
_cell_angle_gamma 90.00
_symmetry_space_group_name_H-M 'C m m m'
_symmetry_Int_Tables_number 65
_symmetry_space_group_name_Hall '-C 2 2'
loop_
_atom_site_label
_atom_site_fract_x
_atom_site_fract_y
_atom_site_fract_z
Li1 0.000 0.152 0.000
Al1 0.000 0.000 0.000
Al2 0.000 0.428 0.500
Ga1 0.000 0.288 0.500



# CsLuI3 GGA-PBE optimized geometry
# - calculated density (g/cm3) = 5.3
# - final energy (Ha/atom) = -0.1165
# - E_form (uncorrected) (eV per atom) = -1.164
data_CsLuI3
_chemical_formula_sum 'Cs1 Lu1 I3'
_cell_length_a 5.996
_cell_length_b 5.996
_cell_length_c 5.996
_cell_angle_alpha 90.00
_cell_angle_beta 90.00
_cell_angle_gamma 90.00
_symmetry_space_group_name_H-M 'P m -3 m'
_symmetry_Int_Tables_number 221
_symmetry_space_group_name_Hall '-P 4 2 3'
loop_
_atom_site_label
_atom_site_fract_x
_atom_site_fract_y
_atom_site_fract_z
Cs1 0.000 0.000 0.000
Lu1 0.500 0.500 0.500
I1 0.000 0.500 0.500



# YMo2Os GGA-PBE optimized geometry
# - calculated density (g/cm3) = 10.8
# - final energy (Ha/atom) = -0.3441
# - E_form (eV per atom) = 0.48
# - excess energy over the best structure of this formula in the dataset (eV per atom) = 0.294
data_YMo2Os
_chemical_formula_sum 'Y1 Mo2 Os1'
_cell_length_a 3.871
_cell_length_b 3.871
_cell_length_c 4.815
_cell_angle_alpha 90.00
_cell_angle_beta 90.00
_cell_angle_gamma 90.00
_symmetry_space_group_name_H-M 'P 4/m m m'
_symmetry_Int_Tables_number 123
_symmetry_space_group_name_Hall '-P 4 2'
loop_
_atom_site_label
_atom_site_fract_x
_atom_site_fract_y
_atom_site_fract_z
Y1 0.000 0.000 0.000
Mo1 0.000 0.500 0.500
Os1 0.500 0.500 0.000



# SmTm2Tl2 GGA-PBE optimized geometry
# - calculated density (g/cm3) = 10.6
# - final energy (Ha/atom) = -0.1452
# - E_form (eV per atom) = -0.27
# - excess energy over the best structure of this formula in the dataset (eV per atom) = 0.000
data_SmTm2Tl2
_chemical_formula_sum 'Sm2 Tm4 Tl4'
_cell_length_a 5.240
_cell_length_b 6.588
_cell_length_c 9.170
_cell_angle_alpha 103.16
_cell_angle_beta 90.03
_cell_angle_gamma 113.38
_symmetry_space_group_name_H-M 'P -1'
_symmetry_Int_Tables_number 2
_symmetry_space_group_name_Hall '-P 1'
loop_
_atom_site_label
_atom_site_fract_x
_atom_site_fract_y
_atom_site_fract_z
Sm1 0.067 0.132 0.353
Tm1 0.252 0.503 0.753
Tm2 0.430 0.860 0.139
Tl1 0.137 0.273 0.040
Tl2 0.364 0.729 0.446



# ReAgOs2 GGA-PBE optimized geometry
# - calculated density (g/cm3) = 18.3
# - final energy (Ha/atom) = -0.3129
# - E_form (eV per atom) = 0.92
# - excess energy over the best structure of this formula in the dataset (eV per atom) = 0.658
data_ReAgOs2
_chemical_formula_sum 'Re4 Ag4 Os8'
_cell_length_a 6.259
_cell_length_b 6.259
_cell_length_c 6.259
_cell_angle_alpha 90.00
_cell_angle_beta 90.00
_cell_angle_gamma 90.00
_symmetry_space_group_name_H-M 'F -4 3 m'
_symmetry_Int_Tables_number 216
_symmetry_space_group_name_Hall 'F -4 2 3'
loop_
_atom_site_label
_atom_site_fract_x
_atom_site_fract_y
_atom_site_fract_z
Re1 0.000 0.000 0.000
Ag1 0.250 0.250 0.750
Os1 0.000 0.000 0.500
Os2 0.250 0.250 0.250



# TaSnTe2I GGA-PBE optimized geometry
# - calculated density (g/cm3) = 6.9
# - final energy (Ha/atom) = -0.1630
# - E_form (uncorrected) (eV per atom) = 0.302
# - excess energy over the best structure of this formula in the dataset (eV per atom) = 0.000
data_TaSnTe2I
_chemical_formula_sum 'Ta1 Sn1 Te2 I1'
_cell_length_a 5.460
_cell_length_b 5.460
_cell_length_c 5.530
_cell_angle_alpha 90.00
_cell_angle_beta 90.00
_cell_angle_gamma 90.00
_symmetry_space_group_name_H-M 'P 4/m m m'
_symmetry_Int_Tables_number 123
_symmetry_space_group_name_Hall '-P 4 2'
loop_
_atom_site_label
_atom_site_fract_x
_atom_site_fract_y
_atom_site_fract_z
Ta1 0.000 0.000 0.000
Sn1 0.500 0.500 0.500
Te1 0.000 0.500 0.000
I1 0.000 0.000 0.500



# Na4BiAu GGA-PBE optimized geometry
# - calculated density (g/cm3) = 4.8
# - final energy (Ha/atom) = -0.0889
# - E_form (eV per atom) = -0.35
data_Na4BiAu
_chemical_formula_sum 'Na16 Bi4 Au4'
_cell_length_a 9.066
_cell_length_b 14.346
_cell_length_c 5.576
_cell_angle_alpha 90.00
_cell_angle_beta 108.25
_cell_angle_gamma 90.00
_symmetry_space_group_name_H-M 'C 1 2/c 1'
_symmetry_Int_Tables_number 15
_symmetry_space_group_name_Hall '-C 2yc'
loop_
_atom_site_label
_atom_site_fract_x
_atom_site_fract_y
_atom_site_fract_z
Na1 0.127 0.176 0.074
Na2 0.187 0.431 0.340
Bi1 0.000 0.359 0.750
Au1 0.000 0.001 0.250



Which value of calculated density does entry 3 give?
5.3 g/cm3



The lowest calculated density belongs to which entry?
Li2Al3Ga2